A plane-wave DFT calculation with PBE was carried out for a relaxed structure of TlCuTe2.

Structure (extended XYZ):
```
4
Lattice="6.1944 0.4911 0.0000 2.5119 5.6835 0.0000 -4.3531 -3.0873 3.1829" Properties=species:S:1:pos:R:3 pbc="T T T"
Cu 3.0972 0.2455 1.5914
Te 0.0000 0.0000 0.0000
Te 4.3531 3.0873 0.0000
Tl 1.2559 2.8418 1.5914
```

Values from the calculation:
* Fermi-level density of states: 1.8 states/eV/f.u.
* formation energy from raw total energies: 131 kJ/mol of formula units
* crystal system: tetragonal
* magnetization: 0.0 μB/cell